(1)
KAsPt2 after structural relaxation. Source: the Alexandria database, functional PBE-GGA.

## Properties
DFT formation energy = -0.25 eV/atom
symmetry = R3m (160)

a b c (Å): 6.602 6.602 6.602
angles (deg): 39.01 39.01 39.01
Positions (direct):
K: 0.000 0.000 0.000
As: 0.181 0.181 0.181
Pt: 0.531 0.531 0.531
Pt: 0.816 0.816 0.816

---

(2)
AlNiAgSe after structural relaxation. Source: the Alexandria database, functional PBE-GGA.

## Properties
ΔE_f (raw) = -192 meV per atom
symmetry = Amm2 (38)
ΔE to the lowest computed polymorph = 0.16 eV/f.u.

a b c (Å): 2.920 6.402 6.402
angles (deg): 36.10 90.00 90.00
Positions (direct):
Al: 0.000 0.000 0.000
Ni: 0.500 0.470 0.470
Ag: 0.000 0.659 0.659
Se: 0.000 0.315 0.315

---

(3)
CaNd3Sm4Te8 after structural relaxation. Source: the Alexandria database, functional PBE-GGA.

## Properties
ΔE_f (raw) = -1421 meV per atom
symmetry = R-3m (166)

a b c (Å): 8.936 8.936 8.936
angles (deg): 60.13 60.13 60.13
Positions (direct):
Ca: 0.000 0.000 0.000
Nd: 0.000 0.500 0.500
Nd: 0.500 0.000 0.500
Nd: 0.500 0.500 0.000
Sm: 0.000 0.000 0.500
Sm: 0.000 0.500 0.000
Sm: 0.500 0.000 0.000
Sm: 0.500 0.500 0.500
Te: 0.246 0.751 0.751
Te: 0.249 0.249 0.249
Te: 0.249 0.249 0.754
Te: 0.249 0.754 0.249
Te: 0.751 0.246 0.751
Te: 0.751 0.751 0.246
Te: 0.751 0.751 0.751
Te: 0.754 0.249 0.249

---

Taking the records one at a time from the top gives total magnetization values of 0.0, 0.0, 0.0 μB/f.u..
Taking the records one at a time from the top gives uncorrected energy values of -4.71, -4.16, -5.19 eV per atom.